No. 1
Entry from the Alexandria database: a relaxed InAs2Pd8 crystal (PBE).

Results
Crystal system: triclinic
Formation enthalpy at 0 K: -0.393 eV/atom
Offset from the most stable computed form: 0.000 eV/atom
Fermi-level density of states: 4.91 states/eV/cell
Density: 10364 kg/m3
Final energy: -5.264 eV per atom

Lattice parameters (Å, degrees): 4.8873 5.7207 7.2845 110.70 104.06 98.25
Space group P-1 (No. 2)
Inequivalent atoms, fractional coordinates:
In 0.0000 0.0000 0.0000 x1
As 0.4006 0.3039 0.6799 x2
Pd 0.1419 0.8917 0.3526 x2
Pd 0.2002 0.4214 0.3830 x2
Pd 0.2468 0.5846 0.9615 x2
Pd 0.3866 0.9041 0.7636 x2

=====

No. 2
Entry from the Alexandria database: a relaxed Zn2CoReSi crystal (PBE).

Results
Crystal system: tetragonal
Fermi-level density of states: 8.27 states/eV/cell
Density: 7616 kg/m3
Final energy: -4.278 eV per atom

Lattice parameters (Å, degrees): 4.4165 4.4165 4.5167 90.00 90.00 90.00
Space group P4/mmm (No. 123)
Inequivalent atoms, fractional coordinates:
Zn 0.0000 0.5000 0.0000 x2
Co 0.0000 0.0000 0.5000 x1
Re 0.5000 0.5000 0.5000 x1
Si 0.5000 0.5000 0.0000 x1

=====

No. 3
Entry from the Alexandria database: a relaxed MnOs2Cl crystal (PBE).

Results
Crystal system: orthorhombic
Offset from the most stable computed form: 0.575 eV/atom
Fermi-level density of states: 4.08 states/eV/cell
Density: 13077 kg/m3
Final energy: -7.476 eV per atom

Lattice parameters (Å, degrees): 2.7794 4.5739 4.7030 90.00 90.00 90.00
Space group Pmmm (No. 47)
Inequivalent atoms, fractional coordinates:
Mn 0.0000 0.0000 0.0000 x1
Os 0.0000 0.5000 0.5000 x1
Os 0.5000 0.5000 0.0000 x1
Cl 0.5000 0.0000 0.5000 x1

=====

No. 4
Entry from the Alexandria database: a relaxed ZrCoHg2 crystal (PBE).

Results
Crystal system: monoclinic
Formation enthalpy at 0 K: 0.202 eV/atom
Fermi-level density of states: 3.79 states/eV/cell
Density: 12033 kg/m3
Final energy: -3.863 eV per atom

Lattice parameters (Å, degrees): 2.9643 4.5210 5.8383 90.00 103.50 90.00
Space group P2/m (No. 10)
Inequivalent atoms, fractional coordinates:
Zr 0.0000 0.0000 0.0000 x1
Co 0.0000 0.0000 0.5000 x1
Hg 0.3882 0.5000 0.7340 x2

=====

No. 5
Entry from the Alexandria database: a relaxed SnHg3F crystal (PBE).

Results
Crystal system: cubic
Offset from the most stable computed form: 0.044 eV/atom
Fermi-level density of states: 2.04 states/eV/cell
Density: 9424 kg/m3
Final energy: -1.509 eV per atom

Lattice parameters (Å, degrees): 5.0696 5.0696 5.0696 90.00 90.00 90.00
Space group Pm-3m (No. 221)
Inequivalent atoms, fractional coordinates:
Sn 0.0000 0.0000 0.0000 x1
Hg 0.0000 0.5000 0.5000 x3
F 0.5000 0.5000 0.5000 x1

=====

No. 6
Entry from the Alexandria database: a relaxed Ta3AgC crystal (PBE).

Results
Crystal system: cubic
Formation enthalpy at 0 K: -0.031 eV/atom
Offset from the most stable computed form: 0.000 eV/atom
Fermi-level density of states: 0.36 states/eV/cell
Density: 13839 kg/m3
Final energy: -9.558 eV per atom

Lattice parameters (Å, degrees): 4.3002 4.3002 4.3002 90.00 90.00 90.00
Space group Pm-3m (No. 221)
Inequivalent atoms, fractional coordinates:
Ta 0.0000 0.0000 0.5000 x3
Ag 0.5000 0.5000 0.5000 x1
C 0.0000 0.0000 0.0000 x1

=====

No. 7
Entry from the Alexandria database: a relaxed Ac2NdRh crystal (PBE).

Results
Crystal system: orthorhombic
Formation enthalpy at 0 K: -0.349 eV/atom
Offset from the most stable computed form: 0.051 eV/atom
Fermi-level density of states: 9.78 states/eV/cell
Density: 7734 kg/m3
Final energy: -5.434 eV per atom

Lattice parameters (Å, degrees): 4.2999 5.7458 12.1867 90.00 90.00 90.00
Space group Immm (No. 71)
Inequivalent atoms, fractional coordinates:
Ac 0.0000 0.0000 0.1649 x4
Nd 0.0000 0.0000 0.5000 x2
Rh 0.0000 0.5000 0.5000 x2

=====

No. 8
Entry from the Alexandria database: a relaxed Ta2Al2Ni crystal (PBE).

Results
Crystal system: tetragonal
Formation enthalpy at 0 K: -0.171 eV/atom
Offset from the most stable computed form: 0.000 eV/atom
Fermi-level density of states: 7.71 states/eV/cell
Density: 10017 kg/m3
Final energy: -7.566 eV per atom

Lattice parameters (Å, degrees): 6.1272 6.1272 4.1909 90.00 90.00 90.00
Space group P4/mbm (No. 127)
Inequivalent atoms, fractional coordinates:
Ta 0.1599 0.3401 0.0000 x4
Al 0.1449 0.6449 0.5000 x4
Ni 0.0000 0.0000 0.5000 x2